No. 1
Density functional theory data (PBE) for TaBe2F after structural relaxation.

```
TaBe2F
1.0
-3.7257 1.5908 3.4476
-1.5161 -5.0517 0.6926
-0.3546 -2.0544 4.6687
Ta F Be
2 2 4
Cartesian
0.0000 0.0000 0.0000
-3.3506 -1.0970 5.0932
-2.2458 -4.4183 3.7157
-2.6209 -1.7304 2.0701
-4.6586 -3.9228 7.0356
-2.4256 -3.4848 5.1427
-2.1301 -0.3543 2.9675
-1.9785 -3.2685 2.4720
```

Computed properties:
As for the energy: -0.3984 Ry per atom. The energy above the most stable polymorph in this dataset comes out at 0.000 eV per atom. The energy relative to the elements, uncorrected is -0.126 eV per atom. The calculation puts the total magnetic moment at 0.000 μB/atom.

=====

No. 2
Density functional theory data (PBE) for Ac12Au3N5 after structural relaxation.

```
Ac12Au3N5
1.0
-2.7375 -12.3817 7.5037
9.7238 8.2013 7.4358
-12.5216 7.5751 -1.7129
Ac N Au
48 20 12
Cartesian
-2.8471 10.1493 3.4963
-2.6881 -6.7546 9.7304
-8.4469 3.7344 0.8261
1.4700 -2.4757 9.3059
7.1761 7.1470 7.3344
-4.5246 11.0090 7.1384
-8.0123 0.6808 9.4566
-3.3586 3.6776 8.4416
5.0251 3.7767 6.4531
2.9117 -0.3397 12.4005
3.7102 9.2432 6.6933
-0.6484 5.8431 10.6287
-1.0091 -0.5639 11.9443
-4.0417 -5.9527 4.3934
-12.7113 -3.7522 5.8922
-1.4935 9.3474 8.8333
-9.6386 3.0201 4.6773
0.0351 8.2420 5.1920
-7.3062 4.2139 7.4980
-1.0106 -7.6142 6.0883
-7.2589 -2.3845 5.6295
4.1033 0.3746 8.5493
-7.0052 5.8704 3.9208
-0.8379 0.7690 8.3533
1.7710 -0.8191 5.7286
-0.8696 3.3754 5.5201
-6.3492 9.2650 1.7154
-4.5261 3.9587 1.2824
-9.2454 -5.8484 6.5333
-4.6973 2.6257 4.8733
-0.8963 -3.8757 5.1766
-2.1766 -0.2828 4.7850
-5.5704 -4.8473 8.0346
-4.8868 -2.4484 2.5980
-2.3081 -3.0086 8.9279
-7.5062 0.3529 2.9338
1.7237 5.7792 7.5971
-3.2271 6.4033 4.2987
-4.6389 7.2704 8.0501
-10.5603 -0.3820 6.7735
-0.9614 1.9698 1.6759
2.4771 2.7140 3.7700
-11.8628 5.9691 0.4318
-4.6656 0.0194 7.7065
6.3276 -2.5744 12.7949
1.9710 3.0419 10.2928
-4.5738 1.4249 11.5507
0.8140 -5.8703 11.5113
-7.7903 -4.0492 7.3541
0.1739 3.4216 3.2982
-4.8639 4.7145 3.5938
-9.2023 2.0634 2.4587
-0.1608 -1.6459 4.4587
-11.7940 -1.6329 5.0585
-2.7676 1.6974 6.6133
-6.2608 3.7876 -0.8565
2.2551 7.4440 5.8725
-0.6713 -1.3198 9.6328
-5.7091 -0.0268 9.9285
-5.3744 5.0407 8.7679
-1.3989 7.8882 2.8615
6.2588 5.0276 8.1682
3.6670 1.3314 10.7680
-7.6295 -2.4033 2.8954
0.0000 0.0000 0.0000
-1.3687 -6.1909 3.7519
3.4932 -2.0902 7.4698
4.8619 4.1007 3.7179
-4.3102 -7.9151 7.0670
-1.3707 2.6243 11.0636
-1.2250 11.3098 6.1596
3.3324 -3.7361 11.9285
-4.1645 0.7704 2.1631
-8.8676 7.1309 1.2981
-1.5597 6.2423 7.3202
-7.4557 1.0183 6.1936
0.0281 -5.2639 8.2021
-5.5634 8.6586 5.0245
1.9205 2.3765 7.0331
-3.9756 -2.8476 5.9064
```

Computed properties:
As for the energy: -0.4235 Ry per atom. The energy relative to the elements, uncorrected is -0.725 eV per atom. The calculation puts the total magnetic moment at 0.000 μB/atom.

=====

No. 3
Density functional theory data (PBE) for BeFeW2 after structural relaxation.

```
BeFeW2
1.0
-3.7715 -0.1269 0.7102
-0.5892 -1.6539 -3.4244
0.3876 -3.2119 1.4845
W Be Fe
2 1 1
Cartesian
0.0000 0.0000 0.0000
-2.1804 -0.8904 -1.3571
-1.6920 -1.6694 1.0974
-0.1008 -2.4329 -0.9699
```

Computed properties:
As for the energy: -0.6861 Ry per atom. The calculation puts the total magnetic moment at 0.399 μB/atom. Its formation energy is 0.76 eV/f.u.